# 1
Below is a relaxed Y2Zr2Mo crystal, with properties calculated at the PBE-GGA level.

Properties
energy of formation from the pure elements	0.256	eV/atom
volume	25.52	A^3/atom
space-group type	P4/mbm (127)
calculated density	5.94	Mg/m³

a = 6.9400 Å, b = 6.9400 Å, c = 5.2980 Å
α = 90.00°, β = 90.00°, γ = 90.00°
Closest atoms and distances in Å follow each position.
Atoms (fractional coordinates):
Y (0.3286, 0.1714, 0.5000)  6 Zr 3.17-3.47, 1 Y 3.36
Y (0.8286, 0.3286, 0.5000)  6 Zr 3.17-3.47, 1 Y 3.36
Y (0.1714, 0.6714, 0.5000)  6 Zr 3.17-3.47, 1 Y 3.36
Y (0.6714, 0.8286, 0.5000)  6 Zr 3.17-3.47, 1 Y 3.36
Mo (0.5000, 0.5000, 0.0000)  4 Zr 2.64
Mo (0.0000, 0.0000, 0.0000)  4 Zr 2.64
Zr (0.8495, 0.6505, 0.0000)  2 Mo 2.64, 1 Zr 2.95
Zr (0.6505, 0.1505, 0.0000)  2 Mo 2.64, 1 Zr 2.95
Zr (0.1505, 0.3495, 0.0000)  2 Mo 2.64, 1 Zr 2.95
Zr (0.3495, 0.8495, 0.0000)  2 Mo 2.64, 1 Zr 2.95


# 2
Below is a relaxed YZrMo2 crystal, with properties calculated at the PBE-GGA level.

Properties
energy of formation from the pure elements	0.335	eV/atom
ΔE to the lowest computed polymorph	22.0	kJ/mol of atoms
volume	19.59	A^3/atom
space-group type	I-4m2 (119)
calculated density	7.88	Mg/m³

a = 4.8056 Å, b = 4.8056 Å, c = 4.8056 Å
α = 120.10°, β = 120.10°, γ = 89.83°
Closest atoms and distances in Å follow each position.
Atoms (fractional coordinates):
Mo (0.0000, 0.0000, 0.0000)  4 Zr 2.94, 4 Mo 2.94
Mo (0.2500, 0.7500, 0.5000)  4 Y 2.94, 4 Mo 2.94
Y (0.5000, 0.5000, 0.0000)  4 Mo 2.94, 4 Zr 2.94
Zr (0.7500, 0.2500, 0.5000)  4 Mo 2.94, 4 Y 2.94


# 3
Below is a relaxed YZrMo2 crystal, with properties calculated at the PBE-GGA level.

Properties
energy of formation from the pure elements	0.408	eV/atom
ΔE to the lowest computed polymorph	29.0	kJ/mol of atoms
volume	19.72	A^3/atom
space-group type	Pmmm (47)
calculated density	7.83	Mg/m³

a = 3.4321 Å, b = 4.9607 Å, c = 4.6330 Å
α = 90.00°, β = 90.00°, γ = 90.00°
Closest atoms and distances in Å follow each position.
Atoms (fractional coordinates):
Mo (0.5000, 0.5000, 0.0000)  4 Zr 2.88, 4 Mo 3.02
Mo (0.0000, 0.0000, 0.0000)  4 Y 2.88, 4 Mo 3.02
Zr (0.0000, 0.5000, 0.5000)  4 Mo 2.88, 4 Y 3.02
Y (0.5000, 0.0000, 0.5000)  4 Mo 2.88, 4 Zr 3.02


# 4
Below is a relaxed Y3ZrMo crystal, with properties calculated at the PBE-GGA level.

Properties
energy of formation from the pure elements	1.476	eV/atom
ΔE to the lowest computed polymorph	76.6	kJ/mol of atoms
volume	30.01	A^3/atom
space-group type	Pm-3m (221)
calculated density	5.02	Mg/m³

a = 5.3140 Å, b = 5.3140 Å, c = 5.3140 Å
α = 90.00°, β = 90.00°, γ = 90.00°
Closest atoms and distances in Å follow each position.
Atoms (fractional coordinates):
Zr (0.0000, 0.0000, 0.0000)  6 Y 2.66
Y (0.0000, 0.5000, 0.0000)  2 Zr 2.66
Y (0.0000, 0.0000, 0.5000)  2 Zr 2.66
Y (0.5000, 0.0000, 0.0000)  2 Zr 2.66
Mo (0.5000, 0.5000, 0.5000)  12 Y 3.76